No. 1
Below is Tc3Cl5 after structural relaxation, with properties calculated at the PBE-GGA level.

Values from the calculation:
Raw total energy in eV per atom: -4.70
Symmetry: No. 65
ρ in g/cm3: 4.95

abc: 8.7528 11.9680 3.0188
angles: 90.00 90.00 90.00
Sites, in units of the cell vectors:
Tc1 0.0000 0.0000 0.0000
Tc2 0.0000 0.1945 0.5000
Tc3 0.0000 0.8055 0.5000
Tc4 0.5000 0.3055 0.5000
Tc5 0.5000 0.5000 0.0000
Tc6 0.5000 0.6945 0.5000
Cl1 0.0000 0.5000 0.0000
Cl2 0.2101 0.0000 0.5000
Cl3 0.2500 0.2500 0.0000
Cl4 0.2500 0.7500 0.0000
Cl5 0.2899 0.5000 0.5000
Cl6 0.5000 0.0000 0.0000
Cl7 0.7101 0.5000 0.5000
Cl8 0.7500 0.2500 0.0000
Cl9 0.7500 0.7500 0.0000
Cl10 0.7899 0.0000 0.5000

No. 2
Below is Tc3Cl after structural relaxation, with properties calculated at the PBE-GGA level.

Values from the calculation:
Symmetry: No. 62
ρ in g/cm3: 9.01
E above lowest polymorph in meV per atom: 225.7

abc: 5.3714 8.8556 5.1038
angles: 90.00 90.00 90.00
Sites, in units of the cell vectors:
Tc1 0.1017 0.0144 0.2222
Tc2 0.1017 0.4856 0.2222
Tc3 0.1570 0.2500 0.8508
Tc4 0.3430 0.7500 0.3508
Tc5 0.3983 0.5144 0.7222
Tc6 0.3983 0.9856 0.7222
Tc7 0.6017 0.0144 0.2778
Tc8 0.6017 0.4856 0.2778
Tc9 0.6570 0.2500 0.6492
Tc10 0.8430 0.7500 0.1492
Tc11 0.8983 0.5144 0.7778
Tc12 0.8983 0.9856 0.7778
Cl1 0.0340 0.2500 0.4113
Cl2 0.4660 0.7500 0.9113
Cl3 0.5340 0.2500 0.0887
Cl4 0.9660 0.7500 0.5887

No. 3
Below is Tc3Cl after structural relaxation, with properties calculated at the PBE-GGA level.

Values from the calculation:
Symmetry: No. 166
ρ in g/cm3: 9.17
E above lowest polymorph in meV per atom: 565.5

abc: 8.4067 8.4067 2.9239
angles: 90.00 90.00 120.00
Sites, in units of the cell vectors:
Tc1 0.0000 0.5000 0.0000
Tc2 0.1667 0.3333 0.3333
Tc3 0.1667 0.8333 0.3333
Tc4 0.3333 0.1667 0.6667
Tc5 0.5000 0.0000 0.0000
Tc6 0.5000 0.5000 0.0000
Tc7 0.6667 0.8333 0.3333
Tc8 0.8333 0.1667 0.6667
Tc9 0.8333 0.6667 0.6667
Cl1 0.0000 0.0000 0.0000
Cl2 0.3333 0.6667 0.6667
Cl3 0.6667 0.3333 0.3333